Entry from Alexandria via LeMat-Bulk: a geometry-optimized CrSi2P structure (PBE).

Its uncorrected formation energy is 0.169 eV/atom. As for the total magnetization: 0.0 μB/cell.

abc: 8.4395 2.9862 4.0544
angles: 90.00 94.41 90.00
Space group C2/m (No. 12)
One atom of each set of equivalent atoms:
Cr (0.0000, 0.0000, 0.0000)
Si (0.2355, 0.5000, 0.2377)
P (0.0000, 0.5000, 0.5000)

---

Entry from Alexandria via LeMat-Bulk: a geometry-optimized CrSiP structure (PBE).

Its uncorrected formation energy is -0.044 eV/atom. As for the total magnetization: 0.3 μB/cell. Its offset from the most stable computed form is 199 meV per atom.

abc: 3.7375 2.9431 8.0634
angles: 90.00 90.00 90.00
Space group Amm2 (No. 38)
One atom of each set of equivalent atoms:
Cr (0.0000, 0.0000, 0.0000)
Si (0.5000, 0.0000, 0.5258)
P (0.0000, 0.0000, 0.2864)

---

Entry from Alexandria via LeMat-Bulk: a geometry-optimized CrSi2P structure (PBE).

Its uncorrected formation energy is 0.346 eV/atom. As for the total magnetization: 4.6 μB/cell.

abc: 3.8577 3.8577 7.1874
angles: 90.00 90.00 90.00
Space group I-4m2 (No. 119)
One atom of each set of equivalent atoms:
Cr (0.0000, 0.0000, 0.0000)
Si (0.0000, 0.0000, 0.5000)
Si (0.0000, 0.5000, 0.2500)
P (0.0000, 0.5000, 0.7500)

---

Entry from Alexandria via LeMat-Bulk: a geometry-optimized CrSiP4 structure (PBE).

Its uncorrected formation energy is 0.742 eV/atom. As for the total magnetization: 16.5 μB/cell.

abc: 7.1436 7.1436 7.1436
angles: 90.00 90.00 90.00
Space group F-43m (No. 216)
One atom of each set of equivalent atoms:
Cr (0.0000, 0.0000, 0.0000)
Si (0.2500, 0.2500, 0.2500)
P (0.1250, 0.1250, 0.6250)

---

Entry from Alexandria via LeMat-Bulk: a geometry-optimized CrSiP structure (PBE).

Its uncorrected formation energy is 0.230 eV/atom. As for the total magnetization: 2.3 μB/cell. Its offset from the most stable computed form is 473 meV per atom.

abc: 6.5208 6.5208 3.2143
angles: 90.00 90.00 120.00
Space group P-62m (No. 189)
One atom of each set of equivalent atoms:
Cr (0.0000, 0.7392, 0.0000)
Si (0.0000, 0.0000, 0.5000)
Si (0.3333, 0.6667, 0.0000)
P (0.0000, 0.3634, 0.5000)

---

Entry from Alexandria via LeMat-Bulk: a geometry-optimized CrSiP structure (PBE).

Its uncorrected formation energy is 0.077 eV/atom. As for the total magnetization: 0.8 μB/cell. Its offset from the most stable computed form is 321 meV per atom.

abc: 3.2320 3.1215 9.0653
angles: 90.00 90.00 90.00
Space group Amm2 (No. 38)
One atom of each set of equivalent atoms:
Cr (0.0000, 0.0000, 0.0000)
Si (0.0000, 0.0000, 0.7377)
P (0.5000, 0.0000, 0.5583)

---

Entry from Alexandria via LeMat-Bulk: a geometry-optimized CrSiP structure (PBE).

Its uncorrected formation energy is 0.217 eV/atom. As for the total magnetization: 0.0 μB/cell. Its offset from the most stable computed form is 461 meV per atom.

abc: 3.1610 4.2089 11.7093
angles: 90.00 90.00 90.00
Space group Fmm2 (No. 42)
One atom of each set of equivalent atoms:
Cr (0.0000, 0.0000, 0.0000)
Si (0.0000, 0.0000, 0.3415)
P (0.0000, 0.0000, 0.6472)

---

Entry from Alexandria via LeMat-Bulk: a geometry-optimized CrSiP structure (PBE).

Its uncorrected formation energy is 0.360 eV/atom. As for the total magnetization: 3.7 μB/cell. Its offset from the most stable computed form is 603 meV per atom.

abc: 5.4975 5.4975 5.4975
angles: 90.00 90.00 90.00
Space group F-43m (No. 216)
One atom of each set of equivalent atoms:
Cr (0.0000, 0.0000, 0.0000)
Si (0.0000, 0.0000, 0.5000)
P (0.2500, 0.2500, 0.2500)

---

Entry from Alexandria via LeMat-Bulk: a geometry-optimized CrSiP structure (PBE).

Its uncorrected formation energy is 0.139 eV/atom. As for the total magnetization: 8.9 μB/cell. Its offset from the most stable computed form is 382 meV per atom.

abc: 5.6382 5.6382 5.6382
angles: 90.00 90.00 90.00
Space group F-43m (No. 216)
One atom of each set of equivalent atoms:
Cr (0.0000, 0.0000, 0.0000)
Si (0.2500, 0.2500, 0.7500)
P (0.2500, 0.2500, 0.2500)

---

Entry from Alexandria via LeMat-Bulk: a geometry-optimized CrSi2P structure (PBE).

Its uncorrected formation energy is 0.228 eV/atom. As for the total magnetization: 0.0 μB/cell.

abc: 4.7622 7.0484 2.9884
angles: 90.00 90.00 90.00
Space group Cmmm (No. 65)
One atom of each set of equivalent atoms:
Cr (0.0000, 0.0000, 0.0000)
Si (0.2500, 0.2500, 0.5000)
P (0.0000, 0.5000, 0.0000)

---

Entry from Alexandria via LeMat-Bulk: a geometry-optimized CrSi2P structure (PBE).

Its uncorrected formation energy is 0.193 eV/atom. As for the total magnetization: 1.2 μB/cell.

abc: 2.9835 2.9835 20.7607
angles: 90.00 90.00 120.00
Space group R-3m (No. 166, hexagonal axes)
One atom of each set of equivalent atoms:
Cr (0.0000, 0.0000, 0.0000)
Si (0.0000, 0.0000, 0.2503)
P (0.0000, 0.0000, 0.5000)

---

Entry from Alexandria via LeMat-Bulk: a geometry-optimized CrSi2P structure (PBE).

Its uncorrected formation energy is 0.129 eV/atom. As for the total magnetization: 0.0 μB/cell.

abc: 3.2083 3.0584 5.2465
angles: 90.00 99.61 90.00
Space group P2/m (No. 10)
One atom of each set of equivalent atoms:
Cr (0.0000, 0.0000, 0.0000)
Si (0.4568, 0.5000, 0.7625)
P (0.0000, 0.0000, 0.5000)

---

Entry from Alexandria via LeMat-Bulk: a geometry-optimized CrSi2P structure (PBE).

Its uncorrected formation energy is 0.170 eV/atom. As for the total magnetization: 0.0 μB/cell.

abc: 2.7468 2.7468 25.8147
angles: 90.00 90.00 120.00
Space group R3m (No. 160, hexagonal axes)
One atom of each set of equivalent atoms:
Cr (0.0000, 0.0000, 0.0000)
Si (0.0000, 0.0000, 0.2605)
Si (0.0000, 0.0000, 0.5005)
P (0.0000, 0.0000, 0.7317)

---

Entry from Alexandria via LeMat-Bulk: a geometry-optimized CrSiP structure (PBE).

Its uncorrected formation energy is -0.184 eV/atom. As for the total magnetization: 0.0 μB/cell. Its offset from the most stable computed form is 59 meV per atom.

abc: 3.0744 3.0744 7.5543
angles: 90.00 90.00 90.00
Space group I4mm (No. 107)
One atom of each set of equivalent atoms:
Cr (0.0000, 0.0000, 0.0000)
Si (0.0000, 0.0000, 0.3321)
P (0.0000, 0.0000, 0.6627)

---

Entry from Alexandria via LeMat-Bulk: a geometry-optimized CrSi2P structure (PBE).

Its uncorrected formation energy is 0.095 eV/atom. As for the total magnetization: 0.0 μB/cell.

abc: 8.0597 2.9464 4.3163
angles: 90.00 94.60 90.00
Space group Cm (No. 8)
One atom of each set of equivalent atoms:
Cr (0.0000, 0.0000, 0.0000)
Si (0.0012, 0.5000, 0.4992)
Si (0.2593, 0.0000, 0.7579)
P (0.2231, 0.5000, 0.1973)

---

Entry from Alexandria via LeMat-Bulk: a geometry-optimized CrSi2P2 structure (PBE).

Its uncorrected formation energy is 0.452 eV/atom. As for the total magnetization: 0.0 μB/cell. Its offset from the most stable computed form is 150 meV per atom.

abc: 3.2124 3.2124 14.6051
angles: 90.00 90.00 90.00
Space group I4/mmm (No. 139)
One atom of each set of equivalent atoms:
Cr (0.0000, 0.0000, 0.0000)
Si (0.0000, 0.5000, 0.2500)
P (0.0000, 0.0000, 0.4175)

---

Entry from Alexandria via LeMat-Bulk: a geometry-optimized CrSi3P structure (PBE).

Its uncorrected formation energy is 1.304 eV/atom. As for the total magnetization: 0.5 μB/cell. Its offset from the most stable computed form is 559 meV per atom.

abc: 4.4415 4.4415 4.4415
angles: 90.00 90.00 90.00
Space group Pm-3m (No. 221)
One atom of each set of equivalent atoms:
Cr (0.0000, 0.0000, 0.0000)
Si (0.0000, 0.5000, 0.5000)
P (0.5000, 0.5000, 0.5000)

---

Entry from Alexandria via LeMat-Bulk: a geometry-optimized CrSiP structure (PBE).

Its uncorrected formation energy is 0.176 eV/atom. As for the total magnetization: 0.5 μB/cell. Its offset from the most stable computed form is 419 meV per atom.

abc: 4.1541 4.1541 2.5283
angles: 90.00 90.00 120.00
Space group P3m1 (No. 156)
One atom of each set of equivalent atoms:
Cr (0.0000, 0.0000, 0.0000)
Si (0.3333, 0.6667, 0.4967)
P (0.6667, 0.3333, 0.0014)

---

Entry from Alexandria via LeMat-Bulk: a geometry-optimized CrSiP structure (PBE).

Its uncorrected formation energy is 0.058 eV/atom. As for the total magnetization: 0.0 μB/cell. Its offset from the most stable computed form is 301 meV per atom.

abc: 3.9381 2.4944 4.3721
angles: 90.00 94.22 90.00
Space group Pm (No. 6)
One atom of each set of equivalent atoms:
Cr (0.0000, 0.0000, 0.0000)
Si (0.9084, 0.5000, 0.5240)
P (0.4977, 0.5000, 0.1454)

---

Entry from Alexandria via LeMat-Bulk: a geometry-optimized CrSiP structure (PBE).

Its uncorrected formation energy is 0.059 eV/atom. As for the total magnetization: 1.4 μB/cell. Its offset from the most stable computed form is 303 meV per atom.

abc: 3.0867 3.6114 7.3093
angles: 90.00 90.00 90.00
Space group Imm2 (No. 44)
One atom of each set of equivalent atoms:
Cr (0.0000, 0.0000, 0.0000)
Si (0.0000, 0.0000, 0.5462)
P (0.0000, 0.5000, 0.7584)

---

Entry from Alexandria via LeMat-Bulk: a geometry-optimized Cr3Si2P structure (PBE).

Its uncorrected formation energy is 0.041 eV/atom. As for the total magnetization: 0.0 μB/cell.

abc: 4.8480 4.8480 7.2573
angles: 90.00 90.00 120.00
Space group P6_3/mmc (No. 194)
One atom of each set of equivalent atoms:
Cr (0.1727, 0.3454, 0.2500)
Si (0.3333, 0.6667, 0.5733)
P (0.0000, 0.0000, 0.0000)

---

Entry from Alexandria via LeMat-Bulk: a geometry-optimized CrSiP structure (PBE).

Its uncorrected formation energy is -0.181 eV/atom. As for the total magnetization: 0.0 μB/cell. Its offset from the most stable computed form is 63 meV per atom.

abc: 4.3748 7.5367 4.3629
angles: 90.00 90.00 90.00
Space group Cmcm (No. 63)
One atom of each set of equivalent atoms:
Cr (0.0000, 0.2468, 0.2500)
Si (0.0000, 0.4225, 0.7500)
P (0.0000, 0.0951, 0.7500)

---

Entry from Alexandria via LeMat-Bulk: a geometry-optimized CrSi3P structure (PBE).

Its uncorrected formation energy is 0.746 eV/atom. As for the total magnetization: 2.5 μB/cell. Its offset from the most stable computed form is 0 meV per atom.

abc: 4.4904 4.4904 4.4904
angles: 90.00 90.00 90.00
Space group Pm-3m (No. 221)
One atom of each set of equivalent atoms:
Cr (0.0000, 0.0000, 0.0000)
Si (0.0000, 0.0000, 0.5000)
P (0.5000, 0.5000, 0.5000)

---

Entry from Alexandria via LeMat-Bulk: a geometry-optimized CrSiP structure (PBE).

Its uncorrected formation energy is -0.192 eV/atom. As for the total magnetization: 0.0 μB/cell. Its offset from the most stable computed form is 52 meV per atom.

abc: 2.9722 2.9722 5.4138
angles: 90.00 90.00 120.00
Space group P3m1 (No. 156)
One atom of each set of equivalent atoms:
Cr (0.0000, 0.0000, 0.0000)
Si (0.6667, 0.3333, 0.6886)
P (0.6667, 0.3333, 0.2720)

---

Entry from Alexandria via LeMat-Bulk: a geometry-optimized CrSi2P structure (PBE).

Its uncorrected formation energy is 0.173 eV/atom. As for the total magnetization: 12.7 μB/cell.

abc: 5.0187 5.0996 9.2116
angles: 90.00 90.00 90.00
Space group Fmmm (No. 69)
One atom of each set of equivalent atoms:
Cr (0.0000, 0.0000, 0.0000)
Si (0.0000, 0.2500, 0.2500)
P (0.0000, 0.0000, 0.5000)

---

Entry from Alexandria via LeMat-Bulk: a geometry-optimized Zn2CrSiP structure (PBE).

Its uncorrected formation energy is 1.187 eV/atom. As for the total magnetization: 0.2 μB/cell.

abc: 4.4621 4.4621 4.7235
angles: 90.00 90.00 90.00
Space group P4/mmm (No. 123)
One atom of each set of equivalent atoms:
Zn (0.0000, 0.5000, 0.0000)
Cr (0.0000, 0.0000, 0.5000)
Si (0.5000, 0.5000, 0.5000)
P (0.5000, 0.5000, 0.0000)

---

Entry from Alexandria via LeMat-Bulk: a geometry-optimized Cr3SnP structure (PBE).

As for the total magnetization: 0.7 μB/cell. Its offset from the most stable computed form is 0 meV per atom.

abc: 4.2385 4.2385 4.2385
angles: 90.00 90.00 90.00
Space group Pm-3m (No. 221)
One atom of each set of equivalent atoms:
Cr (0.0000, 0.0000, 0.5000)
Sn (0.5000, 0.5000, 0.5000)
P (0.0000, 0.0000, 0.0000)

---

Entry from Alexandria via LeMat-Bulk: a geometry-optimized CrSn2P structure (PBE).

As for the total magnetization: 17.5 μB/cell. The value obtained for the uncorrected energy is -5.376 eV/atom.

abc: 7.7057 7.7057 5.9622
angles: 90.00 90.00 90.00
Space group I-42d (No. 122)
One atom of each set of equivalent atoms:
Cr (0.0000, 0.0000, 0.0000)
Sn (0.2303, 0.7500, 0.6250)
P (0.0000, 0.0000, 0.5000)

---

Entry from Alexandria via LeMat-Bulk: a geometry-optimized CrSn3P structure (PBE).

As for the total magnetization: 3.0 μB/cell. Its offset from the most stable computed form is 0 meV per atom.

abc: 5.0574 5.0574 5.0574
angles: 90.00 90.00 90.00
Space group Pm-3m (No. 221)
One atom of each set of equivalent atoms:
Cr (0.0000, 0.0000, 0.0000)
Sn (0.0000, 0.0000, 0.5000)
P (0.5000, 0.5000, 0.5000)